Entry 1:
First-principles (GGA-PBE) data for a relaxed Ba2CaCo crystal, as listed in the Alexandria database.

Results
As for the relative energy among the computed polymorphs: 0.3315 eV/atom. Its space-group type is Fm-3m (225). The formation energy comes out at 624 meV per atom. As for the total magnetization: 0.004 μB per formula unit.

a b c (Å): 8.272 8.272 8.272
angles (deg): 90.00 90.00 90.00
Fractional positions:
Ba1 0.250 0.250 0.250
Ba2 0.250 0.250 0.750
Ba3 0.250 0.750 0.250
Ba4 0.250 0.750 0.750
Ba5 0.750 0.250 0.250
Ba6 0.750 0.250 0.750
Ba7 0.750 0.750 0.250
Ba8 0.750 0.750 0.750
Ca1 0.000 0.000 0.000
Ca2 0.000 0.500 0.500
Ca3 0.500 0.000 0.500
Ca4 0.500 0.500 0.000
Co1 0.000 0.000 0.500
Co2 0.000 0.500 0.000
Co3 0.500 0.000 0.000
Co4 0.500 0.500 0.500

***

Entry 2:
First-principles (GGA-PBE) data for a relaxed Ba2CaCo crystal, as listed in the Alexandria database.

Results
As for the relative energy among the computed polymorphs: 0.0000 eV/atom. Its space-group type is Amm2 (38). The formation energy comes out at 292 meV per atom. As for the total magnetization: 0.045 μB per formula unit.

a b c (Å): 4.250 6.219 12.997
angles (deg): 90.00 90.00 90.00
Fractional positions:
Ba1 0.000 0.000 0.000
Ba2 0.000 0.500 0.500
Ba3 0.500 0.000 0.336
Ba4 0.500 0.500 0.836
Ca1 0.000 0.000 0.703
Ca2 0.000 0.500 0.203
Co1 0.500 0.000 0.843
Co2 0.500 0.500 0.343

***

Entry 3:
First-principles (GGA-PBE) data for a relaxed BaCa2Co crystal, as listed in the Alexandria database.

Results
As for the relative energy among the computed polymorphs: 0.0056 eV/atom. Its space-group type is P4/mmm (123). The formation energy comes out at 284 meV per atom. As for the total magnetization: 0.946 μB per formula unit.

a b c (Å): 3.677 3.677 10.066
angles (deg): 90.00 90.00 90.00
Fractional positions:
Ba1 0.000 0.000 0.000
Ca1 0.500 0.500 0.339
Ca2 0.500 0.500 0.661
Co1 0.000 0.000 0.500

***

Entry 4:
First-principles (GGA-PBE) data for a relaxed Ba2CaCo crystal, as listed in the Alexandria database.

Results
As for the relative energy among the computed polymorphs: 0.3069 eV/atom. Its space-group type is I-4m2 (119). The formation energy comes out at 599 meV per atom. As for the total magnetization: 1.181 μB per formula unit.

a b c (Å): 5.181 5.181 11.363
angles (deg): 90.00 90.00 90.00
Fractional positions:
Ba1 0.000 0.000 0.000
Ba2 0.000 0.500 0.250
Ba3 0.500 0.000 0.750
Ba4 0.500 0.500 0.500
Ca1 0.000 0.500 0.750
Ca2 0.500 0.000 0.250
Co1 0.000 0.000 0.500
Co2 0.500 0.500 0.000

***

Entry 5:
First-principles (GGA-PBE) data for a relaxed Ba2CaCo crystal, as listed in the Alexandria database.

Results
As for the relative energy among the computed polymorphs: 0.1078 eV/atom. Its space-group type is I-42d (122). The formation energy comes out at 400 meV per atom. As for the total magnetization: 0.699 μB per formula unit.

a b c (Å): 11.070 11.070 5.633
angles (deg): 90.00 90.00 90.00
Fractional positions:
Ba1 0.103 0.750 0.125
Ba2 0.250 0.103 0.875
Ba3 0.250 0.397 0.375
Ba4 0.397 0.750 0.625
Ba5 0.603 0.250 0.625
Ba6 0.750 0.603 0.375
Ba7 0.750 0.897 0.875
Ba8 0.897 0.250 0.125
Ca1 0.000 0.000 0.500
Ca2 0.000 0.500 0.750
Ca3 0.500 0.000 0.250
Ca4 0.500 0.500 0.000
Co1 0.000 0.000 0.000
Co2 0.000 0.500 0.250
Co3 0.500 0.000 0.750
Co4 0.500 0.500 0.500

***

Entry 6:
First-principles (GGA-PBE) data for a relaxed BaCa2Co crystal, as listed in the Alexandria database.

Results
As for the relative energy among the computed polymorphs: 0.0136 eV/atom. Its space-group type is Immm (71). The formation energy comes out at 292 meV per atom. As for the total magnetization: 0.339 μB per formula unit.

a b c (Å): 3.728 5.984 12.224
angles (deg): 90.00 90.00 90.00
Fractional positions:
Ba1 0.000 0.000 0.000
Ba2 0.500 0.500 0.500
Ca1 0.000 0.500 0.177
Ca2 0.000 0.500 0.823
Ca3 0.500 0.000 0.323
Ca4 0.500 0.000 0.677
Co1 0.000 0.000 0.500
Co2 0.500 0.500 0.000

***

Entry 7:
First-principles (GGA-PBE) data for a relaxed BaCa3Co crystal, as listed in the Alexandria database.

Results
As for the relative energy among the computed polymorphs: 1.4476 eV/atom. Its space-group type is Pm-3m (221). The formation energy comes out at 1591 meV per atom. As for the total magnetization: 2.901 μB per formula unit.

a b c (Å): 5.834 5.834 5.834
angles (deg): 90.00 90.00 90.00
Fractional positions:
Ba1 0.000 0.000 0.000
Ca1 0.000 0.000 0.500
Ca2 0.000 0.500 0.000
Ca3 0.500 0.000 0.000
Co1 0.500 0.500 0.500

***

Entry 8:
First-principles (GGA-PBE) data for a relaxed BaCa2Co crystal, as listed in the Alexandria database.

Results
As for the relative energy among the computed polymorphs: 0.0507 eV/atom. Its space-group type is Imm2 (44). The formation energy comes out at 329 meV per atom. As for the total magnetization: 0.478 μB per formula unit.

a b c (Å): 3.613 5.135 15.157
angles (deg): 90.00 90.00 90.00
Fractional positions:
Ba1 0.000 0.000 0.000
Ba2 0.500 0.500 0.500
Ca1 0.000 0.000 0.314
Ca2 0.000 0.500 0.167
Ca3 0.500 0.000 0.667
Ca4 0.500 0.500 0.814
Co1 0.000 0.500 0.666
Co2 0.500 0.000 0.166

***

Entry 9:
First-principles (GGA-PBE) data for a relaxed BaCa4Co crystal, as listed in the Alexandria database.

Results
Its space-group type is F-43m (216). The formation energy comes out at 648 meV per atom. As for the total magnetization: 2.102 μB per formula unit.

a b c (Å): 7.096 7.096 7.096
angles (deg): 60.00 60.00 60.00
Fractional positions:
Ba1 0.000 0.000 0.000
Ca1 0.127 0.624 0.624
Ca2 0.624 0.127 0.624
Ca3 0.624 0.624 0.127
Ca4 0.624 0.624 0.624
Co1 0.250 0.250 0.250

***

Entry 10:
First-principles (GGA-PBE) data for a relaxed BaCa2Co crystal, as listed in the Alexandria database.

Results
As for the relative energy among the computed polymorphs: 0.3517 eV/atom. Its space-group type is C2/m (12). The formation energy comes out at 630 meV per atom. As for the total magnetization: 1.211 μB per formula unit.

a b c (Å): 6.900 12.168 3.801
angles (deg): 90.00 119.46 90.00
Fractional positions:
Ba1 0.000 0.000 0.000
Ba2 0.500 0.500 0.000
Ca1 0.250 0.250 0.500
Ca2 0.250 0.750 0.500
Ca3 0.750 0.250 0.500
Ca4 0.750 0.750 0.500
Co1 0.000 0.500 0.000
Co2 0.500 0.000 0.000

***

Entry 11:
First-principles (GGA-PBE) data for a relaxed BaCaCo3 crystal, as listed in the Alexandria database.

Results
As for the relative energy among the computed polymorphs: 0.3261 eV/atom. Its space-group type is Pm-3m (221). The formation energy comes out at 1656 meV per atom. As for the total magnetization: 1.318 μB per formula unit.

a b c (Å): 4.894 4.894 4.894
angles (deg): 90.00 90.00 90.00
Fractional positions:
Ba1 0.000 0.000 0.000
Ca1 0.500 0.500 0.500
Co1 0.000 0.000 0.500
Co2 0.000 0.500 0.000
Co3 0.500 0.000 0.000

***

Entry 12:
First-principles (GGA-PBE) data for a relaxed BaCaCo4 crystal, as listed in the Alexandria database.

Results
Its space-group type is F-43m (216). The formation energy comes out at 383 meV per atom. As for the total magnetization: 4.921 μB per formula unit.

a b c (Å): 5.278 5.278 5.278
angles (deg): 60.00 60.00 60.00
Fractional positions:
Ba1 0.000 0.000 0.000
Ca1 0.750 0.750 0.750
Co1 0.377 0.377 0.377
Co2 0.377 0.377 0.870
Co3 0.377 0.870 0.377
Co4 0.870 0.377 0.377